1.
Below is crystalline Ac2ZrSe5 at its relaxed geometry, with properties calculated at the PBE level.

Properties
As for the relative energy among the computed polymorphs: 0.3087 eV/atom. The value obtained for the raw total energy is -5.764 eV per atom. The formation energy without anion corrections comes out at -1.49 eV/atom.

Cell: 7.4356 7.4356 6.8029 Å, 123.10 123.10 90.04°
Atoms (fractional coordinates):
1 Se 0.2660 0.2660 0.0323
2 Ac 0.7642 0.2643 0.5285
3 Zr 0.9785 0.9785 0.9570
4 Se 0.7040 0.7040 0.4080
5 Se 0.2664 0.7673 0.0337
6 Se 0.7673 0.2664 0.0337
7 Ac 0.2642 0.7642 0.5285
8 Se 0.7663 0.7663 0.0323

=====

2.
Below is crystalline AcSi3 at its relaxed geometry, with properties calculated at the PBE level.

Properties
As for the relative energy among the computed polymorphs: 0.3835 eV/atom. The value obtained for the raw total energy is -5.060 eV per atom. The formation energy without anion corrections comes out at 0.03 eV/atom.

Cell: 4.4488 4.4488 4.4488 Å, 90.00 90.00 90.00°
Atoms (fractional coordinates):
1 Si 0.0000 0.5000 0.5000
2 Ac 0.0000 0.0000 0.0000
3 Si 0.5000 0.5000 0.0000
4 Si 0.5000 0.0000 0.5000

=====

3.
Below is crystalline Ac3Si at its relaxed geometry, with properties calculated at the PBE level.

Properties
As for the relative energy among the computed polymorphs: 0.2692 eV/atom. The value obtained for the raw total energy is -4.450 eV per atom. The formation energy without anion corrections comes out at -0.01 eV/atom.

Cell: 5.0611 5.0611 6.4938 Å, 112.94 112.94 90.00°
Atoms (fractional coordinates):
1 Ac 0.5000 0.5000 0.0000
2 Si 0.0000 0.0000 0.0000
3 Ac 0.2500 0.7500 0.5000
4 Ac 0.7500 0.2500 0.5000